Computed, not measured: a relaxed BaNaLi3 crystal at the PBE level of DFT.

Values from the calculation:
The formation energy comes out at 104 meV/atom. Its excess energy over the best structure of this formula in the dataset is 0 kJ/mol of formula units.

Cell: 6.8484 7.6448 7.6445 Å, 120.01 90.00 90.00°
With the nearest neighbours (Å) after each atom.
Atoms (fractional coordinates):
Ba  0.7499  0.6667  0.3334  12 Li 3.84-3.85
Ba  0.2501  0.3333  0.6666  12 Li 3.84-3.85
Na  0.0000  0.0000  0.0000  6 Li 3.17, 2 Na 3.42
Na  0.5000  0.0000  0.0000  6 Li 3.17, 2 Na 3.42
Li  0.7501  0.5967  0.7984  2 Li 3.02, 2 Na 3.17
Li  0.2499  0.7983  0.5967  2 Li 3.02, 2 Na 3.17
Li  0.2499  0.4033  0.2016  2 Li 3.02, 2 Na 3.17
Li  0.7501  0.2017  0.4033  2 Li 3.02, 2 Na 3.17
Li  0.2499  0.7983  0.2016  2 Li 3.02, 2 Na 3.17
Li  0.7501  0.2017  0.7984  2 Li 3.02, 2 Na 3.17